(1)
This record from Alexandria via LeMat-Bulk describes a geometry-optimized CeHoTm structure. The functional is PBE. Values from VASP.

Quantum ESPRESSO input file:
```
&SYSTEM
  ibrav = 0, nat = 12, ntyp = 3
/
ATOMIC_SPECIES
Ho 164.93 Ho.upf
Ce 140.12 Ce.upf
Tm 168.93 Tm.upf
ATOMIC_POSITIONS crystal
Ho 0.501 0.657 0.500
Ho 0.499 0.343 0.500
Ho 0.001 0.843 0.500
Ho 0.999 0.157 0.500
Ce 0.999 0.250 0.000
Ce 0.501 0.750 0.000
Ce 0.001 0.750 0.000
Ce 0.499 0.250 0.000
Tm 0.657 0.000 0.814
Tm 0.843 0.500 0.186
Tm 0.157 0.500 0.814
Tm 0.343 0.000 0.186
CELL_PARAMETERS angstrom
6.140 0.000 -1.880
0.000 10.575 0.000
-1.523 0.000 5.989
```

Calculated values
* formation energy: 244 meV/atom
* space-group type: No. 64
* E above lowest polymorph: 183.1 meV/atom
* D(E_F): 2.16 states/eV per atom

(2)
This record from Alexandria via LeMat-Bulk describes a geometry-optimized CeHo6Tm2 structure. The functional is PBE. Values from VASP.

Quantum ESPRESSO input file:
```
&SYSTEM
  ibrav = 0, nat = 18, ntyp = 3
/
ATOMIC_SPECIES
Ho 164.93 Ho.upf
Tm 168.93 Tm.upf
Ce 140.12 Ce.upf
ATOMIC_POSITIONS crystal
Ho 0.815 0.651 0.491
Ho 0.852 0.019 0.842
Ho 0.915 0.415 0.085
Ho 0.019 0.852 0.342
Ho 0.349 0.185 0.009
Ho 0.585 0.085 0.415
Ho 0.981 0.148 0.658
Ho 0.651 0.815 0.991
Ho 0.085 0.585 0.915
Ho 0.185 0.349 0.509
Ho 0.415 0.915 0.585
Ho 0.148 0.981 0.158
Tm 0.317 0.481 0.325
Tm 0.683 0.519 0.675
Tm 0.481 0.317 0.825
Tm 0.519 0.683 0.175
Ce 0.251 0.749 0.750
Ce 0.749 0.251 0.250
CELL_PARAMETERS angstrom
5.747 -0.412 -3.045
-1.816 5.468 -3.045
2.418 3.110 14.270
```

Calculated values
* formation energy: 89 meV/atom
* space-group type: No. 15
* E above lowest polymorph: 0.0 meV/atom
* D(E_F): 1.83 states/eV per atom

(3)
This record from Alexandria via LeMat-Bulk describes a geometry-optimized CeHo4Tm3 structure. The functional is PBE. Values from VASP.

Quantum ESPRESSO input file:
```
&SYSTEM
  ibrav = 0, nat = 8, ntyp = 3
/
ATOMIC_SPECIES
Ho 164.93 Ho.upf
Tm 168.93 Tm.upf
Ce 140.12 Ce.upf
ATOMIC_POSITIONS crystal
Ho 0.875 0.631 0.751
Ho 0.125 0.369 0.249
Ho 0.260 0.761 0.519
Ho 0.740 0.239 0.481
Tm 0.125 0.882 0.250
Tm 0.000 0.500 0.000
Tm 0.875 0.118 0.750
Ce 0.500 0.000 0.000
CELL_PARAMETERS angstrom
3.374 0.000 -0.426
-0.167 6.492 -1.321
-0.241 -1.010 11.680
```

Calculated values
* formation energy: 198 meV/atom
* space-group type: No. 12
* E above lowest polymorph: 148.3 meV/atom
* D(E_F): 2.03 states/eV per atom

(4)
This record from Alexandria via LeMat-Bulk describes a geometry-optimized Ce2HoTm structure. The functional is PBE. Values from VASP.

Quantum ESPRESSO input file:
```
&SYSTEM
  ibrav = 0, nat = 4, ntyp = 3
/
ATOMIC_SPECIES
Tm 168.93 Tm.upf
Ce 140.12 Ce.upf
Ho 164.93 Ho.upf
ATOMIC_POSITIONS crystal
Tm 0.500 0.500 0.500
Ce 0.250 0.250 0.250
Ce 0.750 0.750 0.750
Ho 0.000 0.000 0.000
CELL_PARAMETERS angstrom
-4.797 -2.878 0.209
-0.044 -5.224 2.010
-2.404 -1.079 4.939
```

Calculated values
* formation energy: 210 meV/atom
* space-group type: No. 225
* E above lowest polymorph: 127.1 meV/atom
* D(E_F): 3.45 states/eV per atom

(5)
This record from Alexandria via LeMat-Bulk describes a geometry-optimized CeHo5Tm8 structure. The functional is PBE. Values from VASP.

Quantum ESPRESSO input file:
```
&SYSTEM
  ibrav = 0, nat = 14, ntyp = 3
/
ATOMIC_SPECIES
Ho 164.93 Ho.upf
Tm 168.93 Tm.upf
Ce 140.12 Ce.upf
ATOMIC_POSITIONS crystal
Ho 0.500 0.000 0.500
Ho 0.036 0.324 0.134
Ho 0.866 0.902 0.189
Ho 0.811 0.676 0.713
Ho 0.287 0.098 0.964
Tm 0.669 0.395 0.920
Tm 0.924 0.087 0.661
Tm 0.339 0.263 0.426
Tm 0.080 0.749 0.474
Tm 0.163 0.737 0.076
Tm 0.574 0.913 0.837
Tm 0.726 0.251 0.331
Tm 0.526 0.605 0.274
Ce 0.250 0.500 0.750
CELL_PARAMETERS angstrom
-2.906 6.427 4.416
-2.673 0.266 -7.876
-2.729 -6.821 3.908
```

Calculated values
* formation energy: 273 meV/atom
* space-group type: No. 82
* D(E_F): 1.83 states/eV per atom

(6)
This record from Alexandria via LeMat-Bulk describes a geometry-optimized CeHo3Tm structure. The functional is PBE. Values from VASP.

Quantum ESPRESSO input file:
```
&SYSTEM
  ibrav = 0, nat = 20, ntyp = 3
/
ATOMIC_SPECIES
Ho 164.93 Ho.upf
Ce 140.12 Ce.upf
Tm 168.93 Tm.upf
ATOMIC_POSITIONS crystal
Ho 0.110 0.960 0.595
Ho 0.535 0.817 0.238
Ho 0.447 0.608 0.327
Ho 0.465 0.183 0.762
Ho 0.610 0.040 0.905
Ho 0.035 0.183 0.262
Ho 0.965 0.817 0.738
Ho 0.553 0.392 0.673
Ho 0.053 0.608 0.827
Ho 0.947 0.392 0.173
Ho 0.390 0.960 0.095
Ho 0.890 0.040 0.405
Ce 0.264 0.154 0.004
Ce 0.736 0.846 0.996
Ce 0.236 0.154 0.504
Ce 0.764 0.846 0.496
Tm 0.814 0.441 0.941
Tm 0.686 0.441 0.441
Tm 0.186 0.559 0.059
Tm 0.314 0.559 0.559
CELL_PARAMETERS angstrom
-6.046 -1.171 6.900
6.114 -8.640 3.891
-2.264 11.425 -0.045
```

Calculated values
* formation energy: 187 meV/atom
* space-group type: No. 14
* E above lowest polymorph: 132.5 meV/atom
* D(E_F): 2.10 states/eV per atom

(7)
This record from Alexandria via LeMat-Bulk describes a geometry-optimized CeHo14Tm structure. The functional is PBE. Values from VASP.

Quantum ESPRESSO input file:
```
&SYSTEM
  ibrav = 0, nat = 16, ntyp = 3
/
ATOMIC_SPECIES
Ho 164.93 Ho.upf
Ce 140.12 Ce.upf
Tm 168.93 Tm.upf
ATOMIC_POSITIONS crystal
Ho 0.626 0.374 0.250
Ho 0.626 0.876 0.250
Ho 0.124 0.876 0.250
Ho 0.875 0.125 0.500
Ho 0.875 0.625 0.000
Ho 0.124 0.374 0.250
Ho 0.124 0.374 0.750
Ho 0.375 0.625 0.500
Ho 0.375 0.125 0.000
Ho 0.124 0.876 0.750
Ho 0.626 0.374 0.750
Ho 0.375 0.125 0.500
Ho 0.875 0.625 0.500
Ho 0.626 0.876 0.750
Ce 0.875 0.125 0.000
Tm 0.375 0.625 0.000
CELL_PARAMETERS angstrom
6.978 0.936 0.000
-0.936 6.978 0.000
0.000 0.000 9.958
```

Calculated values
* formation energy: 28 meV/atom
* space-group type: No. 123
* D(E_F): 1.29 states/eV per atom

(8)
This record from Alexandria via LeMat-Bulk describes a geometry-optimized Ce2HoTm structure. The functional is PBE. Values from VASP.

Quantum ESPRESSO input file:
```
&SYSTEM
  ibrav = 0, nat = 4, ntyp = 3
/
ATOMIC_SPECIES
Ce 140.12 Ce.upf
Tm 168.93 Tm.upf
Ho 164.93 Ho.upf
ATOMIC_POSITIONS crystal
Ce 0.084 0.084 0.748
Ce 0.249 0.249 0.253
Tm 0.499 0.499 0.503
Ho 0.668 0.668 0.996
CELL_PARAMETERS angstrom
3.464 0.000 0.000
1.732 3.000 0.000
1.732 1.000 11.448
```

Calculated values
* formation energy: 87 meV/atom
* space-group type: No. 160
* E above lowest polymorph: 3.9 meV/atom
* D(E_F): 2.55 states/eV per atom

(9)
This record from Alexandria via LeMat-Bulk describes a geometry-optimized CeHo2Tm structure. The functional is PBE. Values from VASP.

Quantum ESPRESSO input file:
```
&SYSTEM
  ibrav = 0, nat = 4, ntyp = 3
/
ATOMIC_SPECIES
Ce 140.12 Ce.upf
Ho 164.93 Ho.upf
Tm 168.93 Tm.upf
ATOMIC_POSITIONS crystal
Ce 0.000 0.000 0.000
Ho 0.750 0.750 0.750
Ho 0.250 0.250 0.250
Tm 0.500 0.500 0.500
CELL_PARAMETERS angstrom
-4.044 3.410 1.888
-2.309 -0.904 5.039
1.053 3.525 4.244
```

Calculated values
* formation energy: 174 meV/atom
* space-group type: No. 225
* E above lowest polymorph: 119.4 meV/atom
* D(E_F): 2.67 states/eV per atom

(10)
This record from Alexandria via LeMat-Bulk describes a geometry-optimized CeHo3Tm3 structure. The functional is PBE. Values from VASP.

Quantum ESPRESSO input file:
```
&SYSTEM
  ibrav = 0, nat = 14, ntyp = 3
/
ATOMIC_SPECIES
Ce 140.12 Ce.upf
Ho 164.93 Ho.upf
Tm 168.93 Tm.upf
ATOMIC_POSITIONS crystal
Ce 0.667 0.667 0.000
Ce 0.333 0.333 0.000
Ho 0.535 0.200 0.399
Ho 0.465 0.800 0.601
Ho 0.867 0.535 0.399
Ho 0.800 0.133 0.601
Ho 0.200 0.867 0.399
Ho 0.133 0.465 0.601
Tm 0.267 0.600 0.200
Tm 0.600 0.933 0.200
Tm 0.067 0.733 0.800
Tm 0.400 0.067 0.800
Tm 0.733 0.400 0.800
Tm 0.933 0.267 0.200
CELL_PARAMETERS angstrom
-3.134 4.135 3.184
-0.446 -0.515 6.049
10.483 8.890 4.593
```

Calculated values
* formation energy: 179 meV/atom
* space-group type: No. 148
* D(E_F): 1.98 states/eV per atom